DFT (PBE) results for a relaxed structure of MnPbAu2.

For the size of the total moment, the calculation gives 4.2 μB/f.u. Its density of states at the Fermi level is 1.01 states/eV/f.u. The calculation puts the total energy at -19.047 eV/cell.

abc: 3.4478 3.4478 6.8928
angles: 90.00 90.00 90.00
Closest atoms and distances in Å follow each position.
Space group P4mm (No. 99)
Inequivalent atoms, fractional coordinates:
1 Mn 0.0000 0.0000 0.0000 (multiplicity 1)  5 Au 2.73-2.85
2 Pb 0.5000 0.5000 0.3005 (multiplicity 1)  5 Au 3.14-3.30, 4 Mn 3.20, 4 Pb 3.45
3 Au 0.0000 0.0000 0.5872 (multiplicity 1)  1 Mn 2.85, 4 Au 2.93, 4 Pb 3.14
4 Au 0.5000 0.5000 0.8221 (multiplicity 1)  4 Mn 2.73, 4 Au 2.93

=====

DFT (PBE) results for a relaxed structure of TiSI3.

For the size of the total moment, the calculation gives 1.0 μB/f.u. Its density of states at the Fermi level is 8.24 states/eV/f.u. For the uncorrected formation energy, the calculation gives 0.57 eV/f.u. The calculation puts the total energy at -16.102 eV/cell.

abc: 5.5297 5.5297 5.5297
angles: 90.00 90.00 90.00
Closest atoms and distances in Å follow each position.
Space group Pm-3m (No. 221)
Inequivalent atoms, fractional coordinates:
1 Ti 0.0000 0.0000 0.0000 (multiplicity 1)  6 I 2.76
2 S 0.5000 0.5000 0.5000 (multiplicity 1)  12 I 3.91
3 I 0.0000 0.0000 0.5000 (multiplicity 3)  2 Ti 2.76